# 1
Crystalline HfPtS2 at its relaxed geometry, computed with GGA-PBE.

symmetry	I-42d, No. 122

The structure in POSCAR format:
```
HfPtS2
1.0
-2.3182 2.3182 7.2511
2.3182 -2.3182 7.2511
2.3182 2.3182 -7.2511
Hf Pt S
2 2 4
direct
0.0000 0.0000 0.0000
0.7500 0.2500 0.5000
0.2500 0.7500 0.5000
0.5000 0.5000 0.0000
0.1323 0.6250 0.0073
0.3750 0.3823 0.5073
0.6177 0.1250 0.9927
0.8750 0.8677 0.4927
```



# 2
Crystalline Hf6PtS at its relaxed geometry, computed with GGA-PBE.

symmetry	C2/m, No. 12

The structure in POSCAR format:
```
Hf6PtS
1.0
3.2781 -4.6077 0.0000
3.2781 4.6077 0.0000
-1.4990 0.0000 5.7375
Hf Pt S
6 1 1
direct
0.0784 0.6949 0.7089
0.2887 0.2887 0.8060
0.3051 0.9216 0.2911
0.6949 0.0784 0.7089
0.7113 0.7113 0.1940
0.9216 0.3051 0.2911
0.5000 0.5000 0.5000
0.0000 0.0000 0.0000
```



# 3
Crystalline HfPtS at its relaxed geometry, computed with GGA-PBE.

symmetry	R-3m, No. 166

The structure in POSCAR format:
```
HfPtS
1.0
1.7989 1.0386 11.8687
-1.7989 1.0386 11.8687
0.0000 -2.0772 11.8687
Hf Pt S
2 2 2
direct
0.0755 0.0755 0.0755
0.9245 0.9245 0.9245
0.3601 0.3601 0.3601
0.6399 0.6399 0.6399
0.2168 0.2168 0.2168
0.7832 0.7832 0.7832
```



# 4
Crystalline HfPtS3 at its relaxed geometry, computed with GGA-PBE.

symmetry	Pm-3m, No. 221

The structure in POSCAR format:
```
HfPtS3
1.0
4.8799 0.0000 0.0000
0.0000 4.8799 0.0000
0.0000 0.0000 4.8799
Hf Pt S
1 1 3
direct
0.0000 0.0000 0.0000
0.5000 0.5000 0.5000
0.0000 0.0000 0.5000
0.0000 0.5000 0.0000
0.5000 0.0000 0.0000
```



Energy relative to the elements, uncorrected list, top to bottom, in meV per atom: -755 -357 -1094 138
Total magnetic moment list, top to bottom, in μB/f.u.: 0.0 0.0 0.0 1.8
V list, top to bottom, in A^3/atom: 19.5 21.7 22.2 23.2